K4Sr2SnAs4 | meta-GGA SCAN | PBEsol geometry

Geometry as POSCAR:
```
K4Sr2SnAs4
1.0
5.2032 -8.9518 0.0000
5.2032 8.9518 0.0000
-0.4838 0.0000 7.5963
K Sr Sn As
8 4 2 8
direct
0.0727 0.9273 0.5000 K
0.2762 0.7469 0.3482 K
0.5109 0.6584 0.0669 K
0.6463 0.9407 0.5390 K
0.6584 0.5109 0.5669 K
0.7469 0.2762 0.8482 K
0.9273 0.0727 0.0000 K
0.9407 0.6463 0.0390 K
0.2764 0.3232 0.3522 Sr
0.3232 0.2764 0.8522 Sr
0.3246 0.8570 0.8409 Sr
0.8570 0.3246 0.3409 Sr
0.1301 0.4613 0.7309 Sn
0.4613 0.1301 0.2309 Sn
0.0014 0.1877 0.5883 As
0.1290 0.4441 0.0785 As
0.1877 0.0014 0.0883 As
0.4097 0.5963 0.6452 As
0.4441 0.1290 0.5785 As
0.5963 0.4097 0.1452 As
0.6052 0.9992 0.1210 As
0.9992 0.6052 0.6210 As
```

Properties
calculated density = 3.52 g/cm3
energy relative to the lowest polymorph listed for this composition = 0.010 eV per atom
space-group type = Cc (9)
calculated formation energy = -0.80 eV/atom
DFT total energy = -18.49 eV per atom
size of the total moment = 0.0 μB/cell

---

YTlZnCd2 | meta-GGA SCAN | PBEsol geometry

Geometry as POSCAR:
```
YTlZnCd2
1.0
5.7803 0.0000 0.0000
0.0000 5.7803 0.0000
0.0000 0.0000 5.3640
Y Tl Zn Cd
1 1 1 2
direct
0.0000 0.0000 0.0000 Y
0.5000 0.5000 0.5000 Tl
0.0000 0.0000 0.5000 Zn
0.0000 0.5000 0.0000 Cd
0.5000 0.0000 0.0000 Cd
```

Properties
calculated density = 5.41 g/cm3
space-group type = P4/mmm (123)
calculated formation energy = 0.71 eV/atom
DFT total energy = -34.20 eV per atom
size of the total moment = 1.1 μB/cell